## KGeH (PBE)

Data for an optimized crystal structure of KGeH.

Lattice parameters (Å, degrees): 6.114 3.484 6.180 90.00 105.80 90.00
Fractional positions:
K1 0.210 0.000 0.296
K2 0.790 0.000 0.704
Ge1 0.307 0.500 0.851
Ge2 0.693 0.500 0.149
H1 0.423 0.500 0.642
H2 0.577 0.500 0.358

- Offset from the most stable computed form: 7 meV per atom
- DFT total energy: -3.122 eV per atom
- SG: P2/m